Material: PmNdCd4
Method: DFT, PBE-GGA
State: optimized geometry

Cell and atoms, written as POSCAR:
```
PmNdCd4
1.0
5.093 0.000 0.000
0.000 6.871 0.000
0.000 0.000 8.799
Pm Nd Cd
2 2 8
Cartesian
0.000 0.000 0.000
2.547 3.435 4.399
0.000 3.435 0.000
2.547 0.000 4.399
0.000 1.725 2.932
0.000 1.725 5.867
0.000 5.146 2.932
0.000 5.146 5.867
2.547 1.711 1.468
2.547 1.711 7.331
2.547 5.160 1.468
2.547 5.160 7.331
```

Properties
Magnetic moment   0.0 μB/f.u.
Energy of formation from the pure elements   -0.35 eV/atom

=====

Material: PmNd12Cd6
Method: DFT, PBE-GGA
State: optimized geometry

Cell and atoms, written as POSCAR:
```
PmNd12Cd6
1.0
-5.350 5.350 5.350
5.350 -5.350 5.350
5.350 5.350 -5.350
Pm Nd Cd
1 12 6
Cartesian
0.000 0.000 0.000
5.350 3.249 -2.439
2.911 0.000 2.101
7.789 0.000 2.101
2.101 2.911 0.000
3.249 -2.439 5.350
0.000 2.101 2.911
5.350 3.249 2.439
2.101 7.789 0.000
3.249 2.439 5.350
-2.439 5.350 3.249
2.439 5.350 3.249
0.000 2.101 7.789
5.350 1.391 0.000
5.350 0.000 3.959
3.959 5.350 0.000
1.391 0.000 5.350
0.000 5.350 1.391
0.000 3.959 5.350
```

Properties
Magnetic moment   0.0 μB/f.u.
Energy of formation from the pure elements   -0.06 eV/atom

=====

Material: PmNd4Cd5
Method: DFT, PBE-GGA
State: optimized geometry

Cell and atoms, written as POSCAR:
```
PmNd4Cd5
1.0
3.853 0.000 0.000
0.000 3.853 0.000
0.000 0.000 19.265
Pm Nd Cd
1 4 5
Cartesian
0.000 0.000 0.000
0.000 0.000 3.834
0.000 0.000 7.699
0.000 0.000 11.566
0.000 0.000 15.431
1.926 1.926 1.894
1.926 1.926 5.769
1.926 1.926 9.633
1.926 1.926 13.496
1.926 1.926 17.372
```

Properties
Magnetic moment   2.0 μB/f.u.
Energy of formation from the pure elements   -0.32 eV/atom

=====

Material: PmNd4Cd3
Method: DFT, PBE-GGA
State: optimized geometry

Cell and atoms, written as POSCAR:
```
PmNd4Cd3
1.0
2.747 1.586 9.193
-2.747 1.586 9.193
0.000 -3.173 9.193
Pm Nd Cd
1 4 3
Cartesian
0.000 0.000 0.000
0.000 0.000 3.577
0.000 0.000 10.566
0.000 0.000 17.012
0.000 0.000 24.002
0.000 0.000 7.109
0.000 0.000 13.789
0.000 0.000 20.470
```

Properties
Magnetic moment   0.0 μB/f.u.
Energy of formation from the pure elements   -0.18 eV/atom

=====

Material: Pm2Nd3Cd2
Method: DFT, PBE-GGA
State: optimized geometry

Cell and atoms, written as POSCAR:
```
Pm2Nd3Cd2
1.0
2.779 1.605 8.185
-2.779 1.605 8.185
0.000 -3.209 8.185
Pm Nd Cd
2 3 2
Cartesian
0.000 0.000 1.839
0.000 0.000 22.717
0.000 0.000 8.405
0.000 0.000 12.278
0.000 0.000 16.151
0.000 0.000 5.187
0.000 0.000 19.369
```

Properties
Magnetic moment   0.0 μB/f.u.
Energy of formation from the pure elements   -0.15 eV/atom

=====

Material: Pm3NdCd8
Method: DFT, PBE-GGA
State: optimized geometry

Cell and atoms, written as POSCAR:
```
Pm3NdCd8
1.0
6.075 0.000 0.000
-3.037 5.261 0.000
0.000 0.000 9.483
Pm Nd Cd
3 1 8
Cartesian
0.000 0.000 0.000
0.000 0.000 3.637
0.000 3.507 8.383
0.000 3.507 4.742
-1.486 2.649 1.814
1.485 0.857 6.564
1.486 2.649 1.814
0.000 5.223 1.814
3.037 1.754 4.190
3.037 1.754 8.929
4.590 0.857 6.564
3.037 3.547 6.564
```

Properties
Magnetic moment   0.0 μB/f.u.
Energy of formation from the pure elements   -0.29 eV/atom